*P*
# LiCoOs2

An optimized crystal structure of LiCoOs2 (PBE-GGA, Alexandria).

Cell and atoms, written as POSCAR:
```
LiCoOs2
1.0
-2.5512 0.1804 -0.6340
0.9321 -2.4023 0.5506
-2.0586 1.1768 8.6190
Co Os Li
1 2 1
Direct
0.0000 0.0000 0.4966
0.5000 0.5000 0.2591
0.0000 0.0000 0.0020
0.5000 0.5000 0.7422
```

- ρ: 13.4 g/cm³
- Space group: No. 35
- M_tot: 0.379 μB per atom

*Q*
# LiCoOs2

An optimized crystal structure of LiCoOs2 (PBE-GGA, Alexandria).

Cell and atoms, written as POSCAR:
```
LiCoOs2
1.0
-3.2413 -3.0718 -1.0974
-0.9070 -4.2151 -1.5988
-0.2912 -2.3092 3.9097
Li Os Co
1 2 1
Direct
0.2500 0.2500 0.2500
0.4829 0.4829 0.5058
0.0171 0.0171 0.9942
0.7500 0.7500 0.7500
```

- ρ: 14.2 g/cm³
- Space group: No. 12
- M_tot: 0.000 μB per atom

*R*
# LiCoOs2

An optimized crystal structure of LiCoOs2 (PBE-GGA, Alexandria).

Cell and atoms, written as POSCAR:
```
LiCoOs2
1.0
4.8113 0.0040 0.0033
2.1475 4.3054 -0.0033
-3.0037 -2.9228 2.3629
Co Li Os
1 1 2
Direct
0.4860 0.4860 0.0000
0.2620 0.7620 0.5000
0.0086 0.0086 0.0000
0.7434 0.2434 0.5000
```

- ρ: 15.2 g/cm³
- Space group: No. 44
- M_tot: 0.282 μB per atom

*S*
# LiCoOs2

An optimized crystal structure of LiCoOs2 (PBE-GGA, Alexandria).

Cell and atoms, written as POSCAR:
```
LiCoOs2
1.0
-1.9922 1.4930 -0.6858
-1.6083 -1.9925 0.3344
-1.0361 2.1141 7.6129
Co Os Li
1 2 1
Direct
0.5000 0.5000 0.2500
0.0000 0.0000 0.0201
0.0000 0.0000 0.4799
0.5000 0.5000 0.7500
```

- ρ: 13.9 g/cm³
- Space group: No. 123
- M_tot: 0.108 μB per atom

Energy comparison, zero being the most stable, in eV/atom: *P* 0.207; *Q* 0.000; *R* 0.023; *S* 0.121.

*P*
# LiCoOs2

An optimized crystal structure of LiCoOs2 (PBE-GGA, Alexandria).

Cell and atoms, written as POSCAR:
```
LiCoOs2
1.0
2.6117 0.0076 0.0000
-1.1903 2.3247 0.0000
0.0000 0.0000 8.9235
Os Co Li
2 1 1
Direct
0.0000 0.0000 0.4901
0.0000 0.0000 0.0099
0.5000 0.5000 0.2500
0.5000 0.5000 0.7500
```

- ρ: 13.7 g/cm³
- Space group: No. 65
- M_tot: 0.446 μB per atom

*Q*
# LiCoOs2

An optimized crystal structure of LiCoOs2 (PBE-GGA, Alexandria).

Cell and atoms, written as POSCAR:
```
LiCoOs2
1.0
-0.7572 0.8730 2.4636
1.5227 -3.7828 1.8085
3.8990 1.8321 0.5492
Os Li Co
2 1 1
Direct
0.5000 0.5000 0.0000
0.0000 0.0000 0.0000
0.0000 0.5000 0.5000
0.5000 0.0000 0.5000
```

- ρ: 14.1 g/cm³
- Space group: No. 47
- M_tot: 0.449 μB per atom

Energy comparison, zero being the most stable, in eV/atom: *P* 0.000; *Q* 0.006.

*P*
# LiCoOs2

An optimized crystal structure of LiCoOs2 (PBE-GGA, Alexandria).

Cell and atoms, written as POSCAR:
```
LiCoOs2
1.0
4.5859 0.0073 0.0184
3.8317 2.5196 0.0184
0.7078 0.2125 4.4782
Os Co Li
2 1 1
Direct
0.7598 0.7598 0.7728
0.0072 0.0072 0.9804
0.4889 0.4889 0.4672
0.2441 0.2441 0.2795
```

- ρ: 14.4 g/cm³
- Space group: No. 8
- M_tot: 0.000 μB per atom

*Q*
# LiCoOs2

An optimized crystal structure of LiCoOs2 (PBE-GGA, Alexandria).

Cell and atoms, written as POSCAR:
```
LiCoOs2
1.0
-8.0153 2.2239 -3.2361
-8.7967 0.4231 -1.4498
-8.3973 2.9403 -0.7093
Os Co Li
2 1 1
Direct
0.0053 0.0053 0.0053
0.4947 0.4947 0.4947
0.7500 0.7500 0.7500
0.2500 0.2500 0.2500
```

- ρ: 13.8 g/cm³
- Space group: No. 166
- M_tot: 0.259 μB per atom

Energy comparison, zero being the most stable, in eV/atom: *P* 0.023; *Q* 0.000.

*P*
# LiCoOs2

An optimized crystal structure of LiCoOs2 (PBE-GGA, Alexandria).

Cell and atoms, written as POSCAR:
```
LiCoOs2
1.0
0.0000 2.9042 2.9042
2.9042 0.0000 2.9042
2.9042 2.9042 0.0000
Os Li Co
2 1 1
Direct
0.2500 0.2500 0.2500
0.7500 0.7500 0.7500
0.0000 0.0000 0.0000
0.5000 0.5000 0.5000
```

- ρ: 15.1 g/cm³
- Space group: No. 225
- M_tot: 0.381 μB per atom

*Q*
# LiCoOs2

An optimized crystal structure of LiCoOs2 (PBE-GGA, Alexandria).

Cell and atoms, written as POSCAR:
```
LiCoOs2
1.0
2.6754 0.0000 0.0000
0.0000 3.8124 0.0000
0.0000 0.0000 5.0420
Os Co Li
2 1 1
Direct
0.0000 0.0000 0.0049
0.5000 0.5000 0.2397
0.0000 0.0000 0.5220
0.5000 0.5000 0.7335
```

- ρ: 14.4 g/cm³
- Space group: No. 25
- M_tot: 0.201 μB per atom

Energy comparison, zero being the most stable, in eV/atom: *P* 0.185; *Q* 0.000.

*P*
# LiCoOs2

An optimized crystal structure of LiCoOs2 (PBE-GGA, Alexandria).

Cell and atoms, written as POSCAR:
```
LiCoOs2
1.0
-1.6291 1.2503 5.1129
-5.1605 -0.3373 1.9011
4.5645 -2.2185 -2.1454
Os Co Li
2 1 1
Direct
0.9617 0.9617 0.0000
0.5383 0.5383 0.0000
0.7500 0.2500 0.5000
0.2500 0.7500 0.5000
```

- ρ: 13.4 g/cm³
- Space group: No. 71
- M_tot: 0.167 μB per atom

*Q*
# LiCoOs2

An optimized crystal structure of LiCoOs2 (PBE-GGA, Alexandria).

Cell and atoms, written as POSCAR:
```
LiCoOs2
1.0
3.9943 0.0000 0.0000
0.0000 2.6179 -0.0089
0.0000 1.3255 4.7664
Os Co Li
2 1 1
Direct
0.0000 0.9390 0.9955
0.5000 0.3137 0.2477
0.0000 0.6766 0.5235
0.5000 0.5707 0.7334
```

- ρ: 14.9 g/cm³
- Space group: No. 38
- M_tot: 0.000 μB per atom

*R*
# LiCoOs2

An optimized crystal structure of LiCoOs2 (PBE-GGA, Alexandria).

Cell and atoms, written as POSCAR:
```
LiCoOs2
1.0
7.2665 0.0000 0.0000
0.0000 7.2665 0.0000
3.6332 3.6332 2.2730
Os Co Li
4 2 2
Direct
0.3750 0.3073 0.7500
0.6927 0.1250 0.2500
0.8750 0.9427 0.7500
0.0573 0.6250 0.2500
0.0000 0.0000 0.0000
0.7500 0.2500 0.5000
0.2500 0.7500 0.5000
0.5000 0.5000 0.0000
```

- ρ: 12.4 g/cm³
- Space group: No. 122
- M_tot: 0.000 μB per atom

Energy comparison, zero being the most stable, in eV/atom: *P* 0.000; *Q* 0.036; *R* 0.572.

*P*
# LiCo2Os

An optimized crystal structure of LiCo2Os (PBE-GGA, Alexandria).

Cell and atoms, written as POSCAR:
```
LiCo2Os
1.0
4.6729 0.0337 0.1444
3.9512 2.4950 0.1444
1.1766 0.3450 4.2050
Li Co Os
1 2 1
Direct
0.5130 0.5130 0.4382
0.2718 0.2718 0.2992
0.9847 0.9847 0.9481
0.7305 0.7305 0.8145
```

- ρ: 10.9 g/cm³
- Space group: No. 8
- M_tot: 0.466 μB per atom

*Q*
# LiCo2Os

An optimized crystal structure of LiCo2Os (PBE-GGA, Alexandria).

Cell and atoms, written as POSCAR:
```
LiCo2Os
1.0
-0.1038 -0.2480 -3.6022
-1.4974 -2.0883 0.1869
-5.5869 0.8355 0.1035
Os Li Co
1 1 2
Direct
0.5000 0.7500 0.7500
0.5000 0.2500 0.2500
0.0000 0.0021 0.9983
0.0000 0.4979 0.5017
```

- ρ: 11.2 g/cm³
- Space group: No. 47
- M_tot: 0.197 μB per atom

*R*
# LiCo2Os

An optimized crystal structure of LiCo2Os (PBE-GGA, Alexandria).

Cell and atoms, written as POSCAR:
```
LiCo2Os
1.0
4.3269 0.0000 0.0000
0.0000 4.3269 0.0000
0.0000 0.0000 2.6145
Li Os Co
1 1 2
Direct
0.5000 0.0000 0.5000
0.0000 0.5000 0.5000
0.5000 0.5000 0.0000
0.0000 0.0000 0.0000
```

- ρ: 10.7 g/cm³
- Space group: No. 123
- M_tot: 0.803 μB per atom

*S*
# LiCo2Os

An optimized crystal structure of LiCo2Os (PBE-GGA, Alexandria).

Cell and atoms, written as POSCAR:
```
LiCo2Os
1.0
-0.6544 1.2270 -4.4512
-4.4216 0.6473 -1.3330
3.3745 1.3787 2.9084
Co Os Li
2 1 1
Direct
0.9895 0.9895 0.0000
0.5105 0.5105 0.0000
0.2500 0.7500 0.5000
0.7500 0.2500 0.5000
```

- ρ: 11.7 g/cm³
- Space group: No. 71
- M_tot: 0.234 μB per atom

Energy comparison, zero being the most stable, in eV/atom: *P* 0.000; *Q* 0.059; *R* 0.030; *S* 0.144.